(1)
Entry from the Alexandria database: a relaxed UF5 crystal (GGA-PBEsol).

Properties
Its energy relative to the elements, uncorrected is -3.45 eV per atom. The density of states at the Fermi level is 0.1 states/eV per cell. As for the symmetry: No. 87. The calculation puts the total magnetic moment at 1.00 μB/f.u.

abc: 4.4688 5.1756 5.1756
angles: 79.26 64.42 64.42
Fractional positions:
1 F 0.1091 0.6060 0.1757
2 F 0.2849 0.8243 0.6060
3 F 0.8909 0.3940 0.8243
4 F 0.7151 0.1757 0.3940
5 U 0.0000 0.0000 0.0000
6 F 0.5000 0.0000 0.0000

(2)
Entry from the Alexandria database: a relaxed VF4 crystal (GGA-PBEsol).

Properties
Its energy relative to the elements, uncorrected is -2.77 eV per atom. The density of states at the Fermi level is 17.8 states/eV per cell. As for the symmetry: No. 33. The calculation puts the total magnetic moment at 1.00 μB/f.u.

abc: 5.3733 9.0584 10.5725
angles: 90.00 90.00 90.00
Fractional positions:
1 F 0.5114 0.7453 0.3682
2 F 0.3645 0.8886 0.7769
3 F 0.8645 0.3886 0.7231
4 F 0.1355 0.8886 0.2769
5 F 0.0114 0.2453 0.1318
6 F 0.4053 0.9947 0.5392
7 F 0.2110 0.7003 0.0822
8 V 0.3220 0.5936 0.4487
9 F 0.9942 0.6724 0.4026
10 F 0.7288 0.9877 0.2105
11 V 0.3399 0.3210 0.1958
12 F 0.3324 0.4352 0.0394
13 V 0.6780 0.0936 0.5513
14 F 0.2890 0.7003 0.5822
15 F 0.5947 0.4947 0.4608
16 F 0.9053 0.4947 0.9608
17 F 0.2740 0.2065 0.3217
18 F 0.4942 0.1724 0.0974
19 F 0.7712 0.9877 0.7105
20 F 0.8324 0.9352 0.4606
21 F 0.7740 0.7065 0.1783
22 V 0.8220 0.0936 0.0513
23 F 0.2712 0.4877 0.7895
24 F 0.5058 0.6724 0.9026
25 F 0.7110 0.2003 0.4178
26 F 0.0947 0.9947 0.0392
27 F 0.7890 0.2003 0.9178
28 V 0.1780 0.5936 0.9487
29 F 0.2288 0.4877 0.2895
30 F 0.9886 0.7453 0.8682
31 F 0.7260 0.7065 0.6783
32 F 0.4886 0.2453 0.6318
33 V 0.8399 0.8210 0.3042
34 F 0.0058 0.1724 0.5974
35 F 0.6355 0.3886 0.2231
36 F 0.1676 0.4352 0.5394
37 V 0.1601 0.3210 0.6958
38 V 0.6601 0.8210 0.8042
39 F 0.6676 0.9352 0.9606
40 F 0.2260 0.2065 0.8217

(3)
Entry from the Alexandria database: a relaxed VF4 crystal (GGA-PBEsol).

Properties
Its energy relative to the elements, uncorrected is -2.79 eV per atom. The density of states at the Fermi level is 2.8 states/eV per cell. As for the symmetry: No. 62. The calculation puts the total magnetic moment at 1.00 μB/f.u.

abc: 7.3111 7.4715 10.8036
angles: 90.00 90.00 90.00
Fractional positions:
1 F 0.7500 0.1805 0.2110
2 V 0.0001 0.6196 0.2502
3 F 0.5531 0.3775 0.9060
4 F 0.0614 0.1289 0.7609
5 F 0.5542 0.8753 0.9062
6 F 0.2500 0.6805 0.2890
7 F 0.2500 0.8195 0.7890
8 F 0.9386 0.8711 0.2391
9 V 0.4999 0.6196 0.2502
10 V 0.5001 0.3804 0.7498
11 F 0.5531 0.1225 0.4060
12 F 0.0542 0.3753 0.5938
13 F 0.4469 0.8775 0.5940
14 F 0.9469 0.1225 0.4060
15 F 0.0531 0.6225 0.0940
16 F 0.4386 0.1289 0.7609
17 F 0.4386 0.3711 0.2609
18 F 0.4469 0.6225 0.0940
19 F 0.9469 0.3775 0.9060
20 V 0.0001 0.8804 0.7502
21 F 0.4458 0.3753 0.5938
22 F 0.7500 0.9415 0.7118
23 F 0.7500 0.5585 0.2118
24 F 0.9386 0.6289 0.7391
25 V 0.4999 0.8804 0.7502
26 F 0.0542 0.1247 0.0938
27 V 0.5001 0.1196 0.2498
28 F 0.0531 0.8775 0.5940
29 F 0.0614 0.3711 0.2609
30 F 0.5614 0.8711 0.2391
31 F 0.5542 0.6247 0.4062
32 F 0.9458 0.8753 0.9062
33 V 0.9999 0.3804 0.7498
34 F 0.9458 0.6247 0.4062
35 F 0.4458 0.1247 0.0938
36 V 0.9999 0.1196 0.2498
37 F 0.2500 0.4415 0.7882
38 F 0.7500 0.3195 0.7110
39 F 0.5614 0.6289 0.7391
40 F 0.2500 0.0585 0.2882

(4)
Entry from the Alexandria database: a relaxed VF4 crystal (GGA-PBEsol).

Properties
Its energy relative to the elements, uncorrected is -2.75 eV per atom. As for the symmetry: No. 13. The calculation puts the total magnetic moment at 1.00 μB/f.u.

abc: 3.0127 4.8626 9.2463
angles: 91.80 90.00 90.00
Fractional positions:
1 F 0.7386 0.0567 0.8560
2 F 0.2382 0.6198 0.8512
3 F 0.7618 0.1198 0.3512
4 F 0.2607 0.9682 0.1334
5 F 0.2614 0.5567 0.3560
6 V 0.2625 0.2624 0.2447
7 F 0.7393 0.4682 0.6334
8 F 0.2382 0.9050 0.6382
9 F 0.7618 0.4050 0.1382
10 V 0.7375 0.7624 0.7447

(5)
Entry from the Alexandria database: a relaxed VF4 crystal (GGA-PBEsol).

Properties
Its energy relative to the elements, uncorrected is -2.76 eV per atom. The density of states at the Fermi level is 6.7 states/eV per cell. As for the symmetry: No. 15. The calculation puts the total magnetic moment at 1.00 μB/f.u.

abc: 5.0780 5.5402 5.5402
angles: 118.16 90.06 89.94
Fractional positions:
1 V 0.7500 0.6592 0.6592
2 F 0.1353 0.2737 0.0217
3 F 0.9280 0.2979 0.4918
4 F 0.6353 0.9783 0.7263
5 F 0.4280 0.5082 0.7021
6 F 0.8647 0.7263 0.9783
7 V 0.2500 0.3408 0.3408
8 F 0.3647 0.0217 0.2737
9 F 0.0720 0.7021 0.5082
10 F 0.5720 0.4918 0.2979

(6)
Entry from the Alexandria database: a relaxed VF4 crystal (GGA-PBEsol).

Properties
Its energy relative to the elements, uncorrected is -2.75 eV per atom. As for the symmetry: No. 55. The calculation puts the total magnetic moment at 1.00 μB/f.u.

abc: 3.0194 4.7699 9.2914
angles: 90.00 90.00 90.00
Fractional positions:
1 F 0.0000 0.2262 0.6234
2 F 0.0000 0.2738 0.1234
3 F 0.5000 0.6689 0.5982
4 F 0.5000 0.1689 0.9018
5 F 0.0000 0.7738 0.3766
6 V 0.0000 0.0000 0.0000
7 F 0.0000 0.7262 0.8766
8 F 0.5000 0.3311 0.4018
9 V 0.0000 0.5000 0.5000
10 F 0.5000 0.8311 0.0982

(7)
Entry from the Alexandria database: a relaxed V5F11 crystal (GGA-PBEsol).

Properties
Its energy relative to the elements, uncorrected is -2.45 eV per atom. The density of states at the Fermi level is 52.9 states/eV per cell. As for the symmetry: No. 14. The calculation puts the total magnetic moment at 14.00 μB/f.u.

abc: 7.8236 8.2763 13.9944
angles: 90.00 90.00 98.14
Fractional positions:
1 F 0.7237 0.4147 0.0865
2 F 0.7690 0.0344 0.9115
3 F 0.5029 0.5011 0.7509
4 V 0.3474 0.3421 0.6644
5 V 0.7280 0.2650 0.5040
6 V 0.5577 0.2995 0.1760
7 F 0.7763 0.0853 0.5865
8 F 0.9003 0.4030 0.5993
9 F 0.0349 0.8253 0.9248
10 V 0.7855 0.0454 0.3324
11 F 0.2690 0.5344 0.5885
12 V 0.5656 0.0779 0.8284
13 F 0.7366 0.2453 0.7566
14 F 0.6029 0.1090 0.4149
15 F 0.2366 0.7453 0.7434
16 F 0.3971 0.8910 0.5851
17 F 0.1256 0.3677 0.2410
18 F 0.2634 0.7547 0.2434
19 F 0.1649 0.1667 0.6029
20 V 0.0577 0.7995 0.3240
21 V 0.2145 0.9546 0.6676
22 V 0.9344 0.4221 0.3284
23 V 0.0656 0.5779 0.6716
24 F 0.5349 0.3253 0.5752
25 F 0.6256 0.8677 0.2590
26 F 0.7634 0.2547 0.2566
27 V 0.4423 0.7005 0.8240
28 V 0.1526 0.1579 0.1644
29 V 0.9423 0.2005 0.6760
30 F 0.8351 0.8333 0.3971
31 V 0.2280 0.7650 0.9960
32 F 0.2310 0.9656 0.0885
33 F 0.2763 0.5853 0.9135
34 F 0.4651 0.6747 0.4248
35 F 0.8746 0.6280 0.2594
36 F 0.3746 0.1280 0.2406
37 F 0.4003 0.9030 0.9007
38 F 0.3744 0.1323 0.7410
39 V 0.7145 0.4546 0.8324
40 F 0.6254 0.8720 0.7594
41 F 0.4329 0.7218 0.0861
42 V 0.2855 0.5454 0.1676
43 F 0.5997 0.0970 0.0993
44 V 0.4344 0.9221 0.1716
45 V 0.7720 0.2350 0.0040
46 F 0.9651 0.1747 0.0752
47 V 0.8474 0.8421 0.8356
48 F 0.6649 0.6667 0.8971
49 F 0.7310 0.4656 0.4115
50 F 0.4971 0.4989 0.2491
51 F 0.9329 0.2218 0.4139
52 F 0.5671 0.2782 0.9139
53 F 0.3351 0.3333 0.1029
54 F 0.1254 0.3720 0.7406
55 F 0.2237 0.9147 0.4135
56 F 0.8971 0.3910 0.9149
57 F 0.0029 0.0011 0.7491
58 F 0.1029 0.6090 0.0851
59 F 0.0997 0.5970 0.4007
60 F 0.8744 0.6323 0.7590
61 V 0.6526 0.6579 0.3356
62 F 0.0671 0.7782 0.5861
63 V 0.2720 0.7350 0.4960
64 F 0.9971 0.9989 0.2509

(8)
Entry from the Alexandria database: a relaxed VF4 crystal (GGA-PBEsol).

Properties
Its energy relative to the elements, uncorrected is -2.79 eV per atom. The density of states at the Fermi level is 0.1 states/eV per cell. As for the symmetry: No. 53. The calculation puts the total magnetic moment at 1.00 μB/f.u.

abc: 4.6929 5.1523 5.4834
angles: 90.00 90.00 90.00
Fractional positions:
1 V 0.0000 0.0000 0.5000
2 F 0.2500 0.1299 0.2500
3 F 0.1890 0.7102 0.5000
4 F 0.8110 0.2898 0.5000
5 F 0.3110 0.7102 0.0000
6 F 0.2500 0.1299 0.7500
7 F 0.6890 0.2898 0.0000
8 V 0.5000 0.0000 0.0000
9 F 0.7500 0.8701 0.7500
10 F 0.7500 0.8701 0.2500